Entry 1:
The following is a GGA-PBE calculation of a relaxed structure of Ba2Br, from Alexandria.

abc: 6.4287 6.4287 3.7759
angles: 90.00 90.00 120.00
Closest atoms and distances in Å follow each position.
Element x y z (fractional)
Br  0.0000  0.0000  0.5000  2 Br 3.78, 12 Ba 4.16
Ba  0.3333  0.6667  0.0000  5 Ba 3.71-3.78
Ba  0.6667  0.3333  0.0000  5 Ba 3.71-3.78

- N(E_F): 3.288 states/eV/cell
- ΔE to the lowest computed polymorph: 737 meV/atom
- Energy relative to the elements, uncorrected: -0.278 eV per atom
- Space-group type: P6/mmm



Entry 2:
The following is a GGA-PBE calculation of a relaxed structure of Ba2Br, from Alexandria.

abc: 6.6081 6.6081 7.4643
angles: 90.00 90.00 120.00
Closest atoms and distances in Å follow each position.
Element x y z (fractional)
Br  0.3333  0.6667  0.7500  5 Ba 3.73-3.82
Br  0.6667  0.3333  0.2500  5 Ba 3.73-3.82
Ba  0.6667  0.3333  0.7500  5 Br 3.73-3.82
Ba  0.0000  0.0000  0.0000  2 Ba 3.73
Ba  0.0000  0.0000  0.5000  2 Ba 3.73
Ba  0.3333  0.6667  0.2500  5 Br 3.73-3.82

- N(E_F): 6.619 states/eV/cell
- ΔE to the lowest computed polymorph: 447 meV/atom
- Energy relative to the elements, uncorrected: -0.568 eV per atom
- Space-group type: P6_3/mmc



Entry 3:
The following is a GGA-PBE calculation of a relaxed structure of Ba3Br5, from Alexandria.

abc: 9.3808 9.3808 8.0194
angles: 90.00 90.00 120.00
Closest atoms and distances in Å follow each position.
Element x y z (fractional)
Ba  0.3932  0.0000  0.7500  7 Br 3.22-3.52
Br  0.7369  0.0000  0.7500  3 Ba 3.22-3.25
Ba  0.0000  0.3932  0.7500  7 Br 3.22-3.52
Br  0.2631  0.0000  0.2500  3 Ba 3.22-3.25
Br  0.6667  0.3333  0.0000  6 Ba 3.52
Br  0.0000  0.2631  0.2500  3 Ba 3.22-3.25
Ba  0.6068  0.6068  0.7500  7 Br 3.22-3.52
Br  0.3333  0.6667  0.5000  6 Ba 3.52
Br  0.2631  0.2631  0.7500  3 Ba 3.22-3.25
Ba  0.0000  0.6068  0.2500  7 Br 3.22-3.52
Ba  0.6068  0.0000  0.2500  7 Br 3.22-3.52
Br  0.3333  0.6667  0.0000  6 Ba 3.52
Br  0.6667  0.3333  0.5000  6 Ba 3.52
Br  0.7369  0.7369  0.2500  3 Ba 3.22-3.25
Br  0.0000  0.7369  0.7500  3 Ba 3.22-3.25
Ba  0.3932  0.3932  0.2500  7 Br 3.22-3.52

- N(E_F): 3.971 states/eV/cell
- ΔE to the lowest computed polymorph: 0 meV/atom
- Energy relative to the elements, uncorrected: -1.975 eV per atom
- Space-group type: P6_3/mcm



Entry 4:
The following is a GGA-PBE calculation of a relaxed structure of Ba5Br4, from Alexandria.

abc: 11.2148 11.2148 11.2148
angles: 92.28 92.28 157.01
Closest atoms and distances in Å follow each position.
Element x y z (fractional)
Br  0.0000  0.2166  0.2166  5 Ba 3.37-3.45
Ba  0.6594  0.3406  0.0000  4 Br 3.45
Ba  0.6594  0.6594  0.3189  4 Br 3.45
Br  0.7834  0.0000  0.7834  5 Ba 3.37-3.45
Br  0.2166  0.0000  0.2166  5 Ba 3.37-3.45
Br  0.0000  0.7834  0.7834  5 Ba 3.37-3.45
Ba  0.3406  0.6594  0.0000  4 Br 3.45
Ba  0.3406  0.3406  0.6811  4 Br 3.45
Ba  0.0000  0.0000  0.0000  4 Br 3.37

- N(E_F): 5.158 states/eV/cell
- ΔE to the lowest computed polymorph: 0 meV/atom
- Energy relative to the elements, uncorrected: -1.263 eV per atom
- Space-group type: I4/mmm



Entry 5:
The following is a GGA-PBE calculation of a relaxed structure of Ba2Br, from Alexandria.

abc: 4.5544 4.5544 8.1991
angles: 90.00 90.00 120.00
Closest atoms and distances in Å follow each position.
Element x y z (fractional)
Br  0.0000  0.0000  0.0000  6 Ba 3.50
Ba  0.3333  0.6667  0.7180  3 Br 3.50
Ba  0.6667  0.3333  0.2820  3 Br 3.50

- N(E_F): 2.236 states/eV/cell
- ΔE to the lowest computed polymorph: 0 meV/atom
- Energy relative to the elements, uncorrected: -1.015 eV per atom
- Space-group type: P-3m1



Entry 6:
The following is a GGA-PBE calculation of a relaxed structure of Ba4Br, from Alexandria.

abc: 6.6077 6.6077 6.6077
angles: 90.00 90.00 90.00
Closest atoms and distances in Å follow each position.
Element x y z (fractional)
Ba  0.0000  0.5000  0.5000  2 Br 3.30
Br  0.5000  0.5000  0.5000  6 Ba 3.30
Ba  0.0000  0.0000  0.0000  12 Ba 4.67
Ba  0.5000  0.0000  0.5000  2 Br 3.30
Ba  0.5000  0.5000  0.0000  2 Br 3.30

- N(E_F): 9.802 states/eV/cell
- ΔE to the lowest computed polymorph: 0 meV/atom
- Energy relative to the elements, uncorrected: -0.541 eV per atom
- Space-group type: Pm-3m



Q: Look up the ΔE to the lowest computed polymorph of the third one.
A: 0 meV/atom